First-principles (PBE) data for Tl2ReAg after structural relaxation, as listed in Alexandria. Values from VASP.

energy of formation from the pure elements = 0.86 eV per atom
space-group type = Cmmm, No. 65
crystal system = orthorhombic

```
&SYSTEM
  ibrav = 0, nat = 8, ntyp = 3
/
ATOMIC_SPECIES
Tl 204.38 Tl.upf
Re 186.21 Re.upf
Ag 107.87 Ag.upf
ATOMIC_POSITIONS crystal
Tl 0.250 0.250 0.000
Tl 0.250 0.750 0.000
Tl 0.750 0.250 0.000
Tl 0.750 0.750 0.000
Re 0.000 0.000 0.500
Re 0.500 0.500 0.500
Ag 0.000 0.500 0.500
Ag 0.500 0.000 0.500
CELL_PARAMETERS angstrom
6.451 0.000 0.000
0.000 7.466 0.000
0.000 0.000 3.301
```

First-principles (PBE) data for Er4Tm5Sn2 after structural relaxation, as listed in Alexandria. Values from VASP.

energy of formation from the pure elements = 0.13 eV per atom
space-group type = R-3m, No. 166
crystal system = trigonal

```
&SYSTEM
  ibrav = 0, nat = 11, ntyp = 3
/
ATOMIC_SPECIES
Er 167.26 Er.upf
Tm 168.93 Tm.upf
Sn 118.71 Sn.upf
ATOMIC_POSITIONS crystal
Er 0.071 0.071 0.071
Er 0.227 0.227 0.227
Er 0.773 0.773 0.773
Er 0.929 0.929 0.929
Tm 0.000 0.000 0.000
Tm 0.147 0.147 0.147
Tm 0.304 0.304 0.304
Tm 0.696 0.696 0.696
Tm 0.853 0.853 0.853
Sn 0.378 0.378 0.378
Sn 0.622 0.622 0.622
CELL_PARAMETERS angstrom
2.583 1.491 15.209
-2.583 1.491 15.209
0.000 -2.983 15.209
```

First-principles (PBE) data for Ho3Sc5 after structural relaxation, as listed in Alexandria. Values from VASP.

energy of formation from the pure elements = 0.05 eV per atom
space-group type = P4/mmm, No. 123
crystal system = tetragonal

```
&SYSTEM
  ibrav = 0, nat = 8, ntyp = 2
/
ATOMIC_SPECIES
Ho 164.93 Ho.upf
Sc 44.96 Sc.upf
ATOMIC_POSITIONS crystal
Ho 0.000 0.000 0.000
Ho 0.500 0.500 0.137
Ho 0.500 0.500 0.863
Sc 0.000 0.000 0.265
Sc 0.000 0.000 0.500
Sc 0.000 0.000 0.735
Sc 0.500 0.500 0.382
Sc 0.500 0.500 0.618
CELL_PARAMETERS angstrom
3.379 0.000 0.000
0.000 3.379 0.000
0.000 0.000 18.805
```

First-principles (PBE) data for Ca2Ga5Cu2Pd after structural relaxation, as listed in Alexandria. Values from VASP.

energy of formation from the pure elements = -0.35 eV per atom
space-group type = P4/mbm, No. 127
crystal system = tetragonal

```
&SYSTEM
  ibrav = 0, nat = 20, ntyp = 4
/
ATOMIC_SPECIES
Ca 40.08 Ca.upf
Ga 69.72 Ga.upf
Cu 63.55 Cu.upf
Pd 106.42 Pd.upf
ATOMIC_POSITIONS crystal
Ca 0.187 0.313 0.000
Ca 0.313 0.813 0.000
Ca 0.687 0.187 0.000
Ca 0.813 0.687 0.000
Ga 0.000 0.500 0.500
Ga 0.054 0.799 0.500
Ga 0.201 0.054 0.500
Ga 0.299 0.554 0.500
Ga 0.446 0.299 0.500
Ga 0.500 0.000 0.500
Ga 0.554 0.701 0.500
Ga 0.701 0.446 0.500
Ga 0.799 0.946 0.500
Ga 0.946 0.201 0.500
Cu 0.106 0.606 0.000
Cu 0.394 0.106 0.000
Cu 0.606 0.894 0.000
Cu 0.894 0.394 0.000
Pd 0.000 0.000 0.000
Pd 0.500 0.500 0.000
CELL_PARAMETERS angstrom
9.412 0.000 0.000
0.000 9.412 0.000
0.000 0.000 4.085
```

First-principles (PBE) data for Sr3SiTe after structural relaxation, as listed in Alexandria. Values from VASP.

ΔE_f (raw) = -0.612 eV per atom
space-group type = Pm-3m, No. 221
crystal system = cubic

```
&SYSTEM
  ibrav = 0, nat = 5, ntyp = 3
/
ATOMIC_SPECIES
Sr 87.62 Sr.upf
Si 28.09 Si.upf
Te 127.60 Te.upf
ATOMIC_POSITIONS crystal
Sr 0.000 0.000 0.500
Sr 0.000 0.500 0.000
Sr 0.500 0.000 0.000
Si 0.000 0.000 0.000
Te 0.500 0.500 0.500
CELL_PARAMETERS angstrom
5.938 0.000 0.000
0.000 5.938 0.000
0.000 0.000 5.938
```

First-principles (PBE) data for SrAg3Te3 after structural relaxation, as listed in Alexandria. Values from VASP.

ΔE_f (raw) = -0.495 eV per atom
space-group type = R-3, No. 148
crystal system = trigonal

```
&SYSTEM
  ibrav = 0, nat = 14, ntyp = 3
/
ATOMIC_SPECIES
Sr 87.62 Sr.upf
Ag 107.87 Ag.upf
Te 127.60 Te.upf
ATOMIC_POSITIONS crystal
Sr 0.166 0.166 0.166
Sr 0.834 0.834 0.834
Ag 0.024 0.728 0.371
Ag 0.272 0.629 0.976
Ag 0.371 0.024 0.728
Ag 0.629 0.976 0.272
Ag 0.728 0.371 0.024
Ag 0.976 0.272 0.629
Te 0.098 0.419 0.736
Te 0.264 0.902 0.581
Te 0.419 0.736 0.098
Te 0.581 0.264 0.902
Te 0.736 0.098 0.419
Te 0.902 0.581 0.264
CELL_PARAMETERS angstrom
3.994 2.306 7.708
-3.994 2.306 7.708
0.000 -4.611 7.708
```

no.,total DFT energy (no corrections) (eV/atom),spin magnetization (μB/cell)
1,-4.145,0.0
2,-4.294,0.0
3,-5.619,0.0
4,-3.601,0.0
5,-3.334,0.0
6,-3.304,0.0